Here is a relaxed Nd3Al4Au2 crystal from Alexandria via LeMat-Bulk. Energies are from GGA-PBE.

abc: 5.953 5.953 8.816
angles: 106.30 106.30 45.07
Atoms (fractional coordinates):
1 Nd 0.000 0.000 0.000
2 Nd 0.367 0.367 0.311
3 Nd 0.633 0.633 0.689
4 Al 0.098 0.098 0.421
5 Al 0.275 0.275 0.935
6 Al 0.725 0.725 0.065
7 Al 0.902 0.902 0.579
8 Au 0.341 0.341 0.679
9 Au 0.659 0.659 0.321

Summary:
Its space group is C2/m. The density of states at the Fermi level is 7.00 states/eV/f.u. Its spin magnetization is 0.00 μB per formula unit. The calculation puts the total energy at -41.33 eV per cell.

---

Here is a relaxed TlSbOF2 crystal from Alexandria via LeMat-Bulk. Energies are from GGA-PBE.

abc: 4.653 4.653 4.282
angles: 90.00 90.00 90.00
Atoms (fractional coordinates):
1 Tl 0.000 0.000 0.000
2 Sb 0.500 0.500 0.500
3 O 0.500 0.500 0.000
4 F 0.000 0.500 0.500
5 F 0.500 0.000 0.500

Summary:
For the formation energy without anion corrections, the calculation gives -1.594 eV per atom. The energy above the lowest structure with this stoichiometry is 0 meV/atom. Its space group is P4/mmm. The density of states at the Fermi level is 0.07 states/eV/f.u. Its spin magnetization is 0.00 μB per formula unit.